No. 1
## Tl3Ru2O8 (GGA-PBE)

Data for Tl3Ru2O8 after structural relaxation.

Cell lengths 6.204, 6.204, 8.187 Å; angles 67.74, 67.74, 60.00 degrees
Last column: magnetic moment on the atom in μB.
Element x y z (fractional)
O 0.726 0.257 0.291  0.12
O 0.676 0.676 0.971  0.15
O 0.324 0.324 0.029  0.15
O 0.726 0.726 0.291  0.12
O 0.274 0.274 0.709  0.12
O 0.743 0.274 0.709  0.12
O 0.274 0.743 0.709  0.12
O 0.257 0.726 0.291  0.12
Ru 0.404 0.404 0.789  0.78
Ru 0.596 0.596 0.211  0.78
Tl 0.800 0.800 0.600  0.01
Tl 0.000 0.000 0.000  0.01
Tl 0.200 0.200 0.400  0.01

## Properties
Space group = No. 166
E_form (uncorrected) = -799 meV per atom
Density = 6.4 g/cm3

No. 2
## TlRu3O12 (GGA-PBE)

Data for TlRu3O12 after structural relaxation.

Cell lengths 9.230, 9.230, 11.802 Å; angles 66.98, 66.98, 60.00 degrees
Last column: magnetic moment on the atom in μB.
Element x y z (fractional)
O 0.321 0.417 0.362  0.04
O 0.973 0.591 0.483  0.05
O 0.292 0.888 0.626  0.03
O 0.453 0.091 0.983  0.05
O 0.900 0.321 0.362  0.04
O 0.917 0.821 0.862  0.04
O 0.101 0.746 0.029  0.04
O 0.417 0.900 0.362  0.04
O 0.246 0.601 0.529  0.04
O 0.695 0.388 0.126  0.03
O 0.388 0.792 0.126  0.03
O 0.746 0.123 0.029  0.04
O 0.195 0.292 0.626  0.03
O 0.400 0.917 0.862  0.04
O 0.821 0.400 0.862  0.04
O 0.792 0.695 0.126  0.03
O 0.953 0.973 0.483  0.05
O 0.123 0.101 0.029  0.04
O 0.091 0.473 0.983  0.05
O 0.591 0.953 0.483  0.05
O 0.473 0.453 0.983  0.05
O 0.888 0.195 0.626  0.03
O 0.601 0.623 0.529  0.04
O 0.623 0.246 0.529  0.04
Tl 0.564 0.564 0.308  0.00
Tl 0.064 0.064 0.808  0.00
Ru 0.475 0.843 0.502  0.20
Ru 0.343 0.975 0.002  0.20
Ru 0.843 0.181 0.502  0.20
Ru 0.681 0.343 0.002  0.20
Ru 0.181 0.475 0.502  0.20
Ru 0.975 0.681 0.002  0.20

## Properties
Space group = No. 161
E_form (uncorrected) = -678 meV per atom
Density = 3.0 g/cm3

No. 3
## TlRu2O (GGA-PBE)

Data for TlRu2O after structural relaxation.

Cell lengths 4.457, 4.457, 4.457 Å; angles 60.00, 60.00, 60.00 degrees
Last column: magnetic moment on the atom in μB.
Element x y z (fractional)
Ru 0.750 0.750 0.750  2.04
Ru 0.250 0.250 0.250  2.04
Tl 0.500 0.500 0.500  -0.03
O 0.000 0.000 0.000  0.46

## Properties
Space group = No. 225
E_form (uncorrected) = 1047 meV per atom
ΔE to the lowest computed polymorph = 0.7183 eV per atom
Density = 11.2 g/cm3

No. 4
## TlRuO2 (GGA-PBE)

Data for TlRuO2 after structural relaxation.

Cell lengths 2.777, 2.777, 7.101 Å; angles 90.00, 90.00, 90.00 degrees
Element x y z (fractional)
Tl 0.500 0.500 0.500
O 0.000 0.000 0.838
O 0.000 0.000 0.162
Ru 0.500 0.500 0.000

## Properties
Space group = No. 123
E_form (uncorrected) = -24 meV per atom
ΔE to the lowest computed polymorph = 0.4229 eV per atom
Density = 10.2 g/cm3

No. 5
## Tl2Ru3O8 (GGA-PBE)

Data for Tl2Ru3O8 after structural relaxation.

Cell lengths 5.879, 5.879, 14.961 Å; angles 90.00, 90.00, 120.00 degrees
Last column: magnetic moment on the atom in μB.
Element x y z (fractional)
Ru 0.356 0.178 0.743  0.74
Ru 0.178 0.822 0.243  0.74
Ru 0.822 0.644 0.743  0.74
Ru 0.178 0.356 0.243  0.74
Ru 0.644 0.822 0.243  0.74
Ru 0.822 0.178 0.743  0.74
O 0.488 0.512 0.322  0.17
O 0.333 0.667 0.154  0.06
O 0.843 0.686 0.179  0.09
O 0.667 0.333 0.654  0.06
O 0.512 0.488 0.822  0.17
O 0.025 0.512 0.322  0.17
O 0.000 0.000 0.308  -0.03
O 0.975 0.488 0.822  0.17
O 0.157 0.843 0.679  0.09
O 0.488 0.975 0.322  0.17
O 0.000 0.000 0.808  -0.03
O 0.512 0.025 0.822  0.17
O 0.314 0.157 0.179  0.09
O 0.157 0.314 0.679  0.09
O 0.686 0.843 0.679  0.09
O 0.843 0.157 0.179  0.09
Tl 0.333 0.667 0.936  0.00
Tl 0.667 0.333 0.436  0.00
Tl 0.333 0.667 0.564  0.00
Tl 0.667 0.333 0.064  0.00

## Properties
Space group = No. 186
E_form (uncorrected) = -807 meV per atom
ΔE to the lowest computed polymorph = 0.0457 eV per atom
Density = 6.2 g/cm3

No. 6
## Tm2Tl2RuO6 (GGA-PBE)

Data for Tm2Tl2RuO6 after structural relaxation.

Cell lengths 5.711, 5.711, 6.780 Å; angles 97.14, 97.14, 120.00 degrees
Last column: magnetic moment on the atom in μB.
Element x y z (fractional)
Tm 0.335 0.665 0.500  0.03
Tm 0.665 0.335 0.500  0.03
O 0.257 0.257 0.333  0.07
O 0.045 0.358 0.662  0.07
O 0.642 0.955 0.338  0.07
O 0.743 0.743 0.667  0.07
O 0.358 0.045 0.662  0.07
O 0.955 0.642 0.338  0.07
Tl 0.163 0.837 0.000  0.01
Tl 0.837 0.163 0.000  0.01
Ru 0.000 0.000 0.500  1.42

## Properties
Space group = No. 12
E_form (uncorrected) = -1962 meV per atom
Density = 8.4 g/cm3

No. 7
## TmTlRu2O8 (GGA-PBE)

Data for TmTlRu2O8 after structural relaxation.

Cell lengths 5.645, 5.645, 8.211 Å; angles 88.37, 88.37, 64.78 degrees
Last column: magnetic moment on the atom in μB.
Element x y z (fractional)
O 0.220 0.714 0.807  0.14
O 0.714 0.220 0.807  0.14
O 0.780 0.286 0.193  0.14
O 0.286 0.780 0.193  0.14
O 0.699 0.699 0.423  0.21
O 0.223 0.223 0.927  0.19
O 0.777 0.777 0.073  0.19
O 0.301 0.301 0.577  0.21
Ru 0.364 0.364 0.775  1.06
Ru 0.636 0.636 0.225  1.06
Tm 0.000 0.000 0.000  0.09
Tl 0.000 0.000 0.500  0.02

## Properties
Space group = No. 12
E_form (uncorrected) = -1338 meV per atom
Density = 4.9 g/cm3

No. 8
## TmTl2RuO8 (GGA-PBE)

Data for TmTl2RuO8 after structural relaxation.

Cell lengths 5.089, 5.074, 6.623 Å; angles 90.00, 90.00, 91.88 degrees
Last column: magnetic moment on the atom in μB.
Element x y z (fractional)
Tl 0.500 0.500 0.752  0.01
Tl 0.500 0.500 0.248  0.01
O 0.174 0.823 0.786  0.07
O 0.826 0.177 0.214  0.07
O 0.174 0.823 0.214  0.07
O 0.303 0.300 0.500  0.00
O 0.277 0.275 0.000  -0.03
O 0.697 0.700 0.500  0.00
O 0.723 0.725 0.000  -0.03
O 0.826 0.177 0.786  0.07
Tm 0.000 0.000 0.500  0.04
Ru 0.000 0.000 0.000  0.58

## Properties
Space group = No. 10
E_form (uncorrected) = -1167 meV per atom
Density = 7.8 g/cm3

No. 9
## TmTlRuO6 (GGA-PBE)

Data for TmTlRuO6 after structural relaxation.

Cell lengths 5.469, 5.469, 4.689 Å; angles 90.00, 90.00, 60.00 degrees
Last column: magnetic moment on the atom in μB.
Element x y z (fractional)
O 0.344 0.622 0.266  0.06
O 0.035 0.622 0.734  0.06
O 0.622 0.035 0.266  0.06
O 0.035 0.344 0.266  0.06
O 0.344 0.035 0.734  0.06
O 0.622 0.344 0.734  0.06
Tm 0.667 0.667 0.500  0.04
Ru 0.333 0.333 0.500  0.89
Tl 0.000 0.000 0.000  0.02

## Properties
Space group = No. 149
E_form (uncorrected) = -1436 meV per atom
Density = 7.8 g/cm3

No. 10
## TmTl2RuO6 (GGA-PBE)

Data for TmTl2RuO6 after structural relaxation.

Cell lengths 5.644, 6.288, 6.288 Å; angles 120.00, 90.00, 90.00 degrees
Last column: magnetic moment on the atom in μB.
Element x y z (fractional)
O 0.208 0.283 0.141  0.02
O 0.208 0.859 0.717  0.02
O 0.208 0.859 0.141  0.02
O 0.792 0.717 0.859  0.02
O 0.792 0.141 0.283  0.02
O 0.792 0.141 0.859  0.02
Ru 0.000 0.000 0.000  0.76
Tl 0.011 0.333 0.667  -0.04
Tl 0.989 0.667 0.333  -0.04
Tm 0.500 0.000 0.000  0.01

## Properties
Space group = No. 164
E_form (uncorrected) = -1296 meV per atom
Density = 6.7 g/cm3

No. 11
## U3Tl2RuO12 (GGA-PBE)

Data for U3Tl2RuO12 after structural relaxation.

Cell lengths 7.602, 7.602, 7.602 Å; angles 63.01, 63.01, 63.01 degrees
Last column: magnetic moment on the atom in μB.
Element x y z (fractional)
O 0.320 0.320 0.951  0.01
O 0.943 0.943 0.299  0.05
O 0.049 0.680 0.680  0.01
O 0.680 0.049 0.680  0.01
O 0.701 0.057 0.057  0.05
O 0.320 0.951 0.320  0.01
O 0.943 0.299 0.943  0.05
O 0.057 0.701 0.057  0.05
O 0.299 0.943 0.943  0.05
O 0.951 0.320 0.320  0.01
O 0.680 0.680 0.049  0.01
O 0.057 0.057 0.701  0.05
Tl 0.339 0.339 0.339  0.00
Tl 0.661 0.661 0.661  0.00
Ru 0.000 0.000 0.000  1.37
U 0.500 0.000 0.000  0.03
U 0.000 0.500 0.000  0.03
U 0.000 0.000 0.500  0.03

## Properties
Space group = No. 166
E_form (uncorrected) = -2323 meV per atom
Density = 7.1 g/cm3

No. 12
## UTl2RuO6 (GGA-PBE)

Data for UTl2RuO6 after structural relaxation.

Cell lengths 5.199, 5.837, 6.799 Å; angles 115.42, 105.53, 90.00 degrees
Last column: magnetic moment on the atom in μB.
Element x y z (fractional)
Tl 0.782 0.778 0.557  0.00
Tl 0.218 0.222 0.443  0.00
O 0.764 0.826 0.111  0.09
O 0.764 0.285 0.111  0.09
O 0.760 0.350 0.699  0.00
O 0.236 0.174 0.889  0.09
O 0.236 0.715 0.889  0.09
O 0.240 0.650 0.301  0.00
U 0.000 0.500 0.000  0.17
Ru 0.500 0.000 0.000  1.30

## Properties
Space group = No. 12
E_form (uncorrected) = -1621 meV per atom
Density = 7.9 g/cm3